1.
Tb2DyEr2Mg | PBE | relaxed

abc: 3.598 11.713 10.192
angles: 90.00 90.00 90.00
Fractional coordinates of all 12 atoms:
Tb (0.500, 0.777, 0.403)
Tb (0.500, 0.223, 0.597)
Tb (0.000, 0.723, 0.903)
Tb (0.000, 0.277, 0.097)
Dy (0.500, 0.500, 0.000)
Dy (0.000, 0.000, 0.500)
Er (0.500, 0.072, 0.249)
Er (0.000, 0.572, 0.251)
Er (0.500, 0.928, 0.751)
Er (0.000, 0.428, 0.749)
Mg (0.000, 0.000, 0.000)
Mg (0.500, 0.500, 0.500)

* SG: Pnnm, No. 58
* crystal system: orthorhombic
* total magnetization: 0.00 μB/f.u.
* formation energy from the elements: 0.48 eV/atom

2.
Sr5GeCl5 | PBE | relaxed

abc: 6.132 7.691 8.812
angles: 106.70 90.00 113.49
Fractional coordinates of all 11 atoms:
Sr (0.844, 0.688, 0.166)
Sr (0.844, 0.688, 0.677)
Sr (0.500, 0.000, 0.000)
Sr (0.156, 0.312, 0.323)
Sr (0.156, 0.312, 0.834)
Ge (0.000, 0.000, 0.000)
Cl (0.687, 0.373, 0.343)
Cl (0.677, 0.354, 0.838)
Cl (0.000, 0.000, 0.500)
Cl (0.323, 0.646, 0.162)
Cl (0.313, 0.627, 0.657)

* formation energy without anion corrections: -1.777 eV/atom
* SG: C2/m, No. 12
* crystal system: monoclinic
* total magnetization: 0.00 μB/f.u.

3.
Ac4La5In | PBE | relaxed

abc: 6.225 8.643 8.643
angles: 82.55 68.89 68.89
Fractional coordinates of all 10 atoms:
Ac (0.458, 0.307, 0.693)
Ac (0.765, 0.693, 0.693)
Ac (0.151, 0.307, 0.307)
Ac (0.458, 0.693, 0.307)
La (0.770, 0.366, 0.000)
La (0.136, 0.000, 0.634)
La (0.770, 0.000, 0.366)
La (0.136, 0.634, 0.000)
La (0.676, 0.000, 0.000)
In (0.189, 0.000, 0.000)

* SG: I4mm, No. 107
* crystal system: tetragonal
* excess energy over the best structure of this formula in the dataset: 108.1 meV per atom
* total magnetization: 0.00 μB/f.u.
* formation energy from the elements: 0.02 eV/atom

Number 1: density of states at the Fermi level 7.776 states/eV/f.u.. Number 2: density of states at the Fermi level 3.829 states/eV/f.u.. Number 3: density of states at the Fermi level 15.371 states/eV/f.u..